! Mn2Ag2SeO6 (GGA+U, relaxed); values from VASP
&SYSTEM
  ibrav = 0, nat = 11, ntyp = 4
/
ATOMIC_SPECIES
Mn 54.94 Mn.upf
O 16.00 O.upf
Ag 107.87 Ag.upf
Se 78.96 Se.upf
CELL_PARAMETERS angstrom
-0.3549 0.3465 5.3808
0.9810 -4.7128 -2.4549
5.4100 3.4219 -1.2871
ATOMIC_POSITIONS crystal
Mn 0.3366 0.6634 0.5000
O 0.4424 0.1135 0.6736
Ag 0.1795 0.8205 0.0000
O 0.5576 0.8865 0.3264
O 0.8865 0.5576 0.3264
O 0.2154 0.2154 0.3061
O 0.1135 0.4424 0.6736
Se 0.0000 0.0000 0.5000
O 0.7846 0.7846 0.6939
Mn 0.6634 0.3366 0.5000
Ag 0.8205 0.1795 0.0000
! SG   No. 12
! Raw total energy   -5.677 eV per atom
! Mass density   5.70 g/cm3